<i>
# NdTm9Sc2 (PBE, optimized geometry)
data_NdTm9Sc2
_chemical_formula_sum 'Nd1 Tm9 Sc2'
_cell_length_a 4.907
_cell_length_b 4.907
_cell_length_c 14.706
_cell_angle_alpha 90.00
_cell_angle_beta 90.00
_cell_angle_gamma 90.00
_space_group_name_H-M_alt 'P 4/m m m'
_space_group_IT_number 123
_space_group_name_Hall '-P 4 2'
loop_
_atom_site_label
_atom_site_fract_x
_atom_site_fract_y
_atom_site_fract_z
_atom_site_occupancy
Nd1 0.000 0.000 0.000 1
Tm1 0.000 0.500 0.173 1
Tm2 0.000 0.500 0.500 1
Tm3 0.500 0.500 0.000 1
Tm4 0.500 0.500 0.337 1
Sc1 0.000 0.000 0.336 1
# - Theoretical density: 8.2 g cm⁻³



<ii>
# NdTm9Sc2 (PBE, optimized geometry)
data_NdTm9Sc2
_chemical_formula_sum 'Nd1 Tm9 Sc2'
_cell_length_a 10.9342
_cell_length_b 10.9342
_cell_length_c 3.4420
_cell_angle_alpha 90.00
_cell_angle_beta 90.00
_cell_angle_gamma 120.00
_space_group_name_H-M_alt 'P 6/m m m'
_space_group_IT_number 191
_space_group_name_Hall '-P 6 2'
loop_
_atom_site_label
_atom_site_fract_x
_atom_site_fract_y
_atom_site_fract_z
_atom_site_occupancy
Nd1 0.0000 0.0000 0.0000 1
Tm1 0.0000 0.5000 0.0000 1
Tm2 0.1810 0.3620 0.5000 1
Sc1 0.3333 0.6667 0.0000 1
# - Theoretical density: 8.2 g cm⁻³



<ii> wins, 8 meV per atom ahead of the next structure.



<i>
# Nd6TmSc2 (PBE, optimized geometry)
data_Nd6TmSc2
_chemical_formula_sum 'Nd12 Tm2 Sc4'
_cell_length_a 9.208
_cell_length_b 17.459
_cell_length_c 3.605
_cell_angle_alpha 90.00
_cell_angle_beta 90.00
_cell_angle_gamma 90.00
_space_group_name_H-M_alt 'C m m m'
_space_group_IT_number 65
_space_group_name_Hall '-C 2 2'
loop_
_atom_site_label
_atom_site_fract_x
_atom_site_fract_y
_atom_site_fract_z
_atom_site_occupancy
Nd1 0.178 0.167 0.000 1
Nd2 0.183 0.000 0.500 1
Tm1 0.000 0.500 0.000 1
Sc1 0.000 0.325 0.500 1
# - Theoretical density: 6.4 g cm⁻³



<ii>
# Nd6TmSc2 (PBE, optimized geometry)
data_Nd6TmSc2
_chemical_formula_sum 'Nd24 Tm4 Sc8'
_cell_length_a 13.662
_cell_length_b 13.266
_cell_length_c 6.691
_cell_angle_alpha 90.00
_cell_angle_beta 106.15
_cell_angle_gamma 90.00
_space_group_name_H-M_alt 'C 1 2/c 1'
_space_group_IT_number 15
loop_
_space_group_symop_operation_xyz
'x,y,z'
'-x,-y,-z'
'-x,y,-z+1/2'
'x,-y,z+1/2'
'x+1/2,y+1/2,z'
'-x+1/2,-y+1/2,-z'
'-x+1/2,y+1/2,-z+1/2'
'x+1/2,-y+1/2,z+1/2'
loop_
_atom_site_label
_atom_site_fract_x
_atom_site_fract_y
_atom_site_fract_z
_atom_site_occupancy
Nd1 0.028 0.141 0.004 1
Nd2 0.117 0.406 0.815 1
Nd3 0.243 0.207 0.727 1
Tm1 0.000 0.363 0.250 1
Sc1 0.188 0.025 0.375 1
# - Theoretical density: 6.4 g cm⁻³



<ii> wins, 31 meV per atom ahead of the next structure.



<i>
# NdTmSc6 (PBE, optimized geometry)
data_NdTmSc6
_chemical_formula_sum 'Nd1 Tm1 Sc6'
_cell_length_a 6.7899
_cell_length_b 6.7899
_cell_length_c 5.3179
_cell_angle_alpha 90.00
_cell_angle_beta 90.00
_cell_angle_gamma 120.00
_space_group_name_H-M_alt 'P -6 m 2'
_space_group_IT_number 187
_space_group_name_Hall 'P -6 2'
loop_
_atom_site_label
_atom_site_fract_x
_atom_site_fract_y
_atom_site_fract_z
_atom_site_occupancy
Nd1 0.0000 0.0000 0.0000 1
Tm1 0.6667 0.3333 0.5000 1
Sc1 0.0072 0.5036 0.0000 1
Sc2 0.1710 0.3419 0.5000 1
# - Theoretical density: 4.6 g cm⁻³



<ii>
# NdTmSc6 (PBE, optimized geometry)
data_NdTmSc6
_chemical_formula_sum 'Nd1 Tm1 Sc6'
_cell_length_a 6.689
_cell_length_b 6.689
_cell_length_c 4.706
_cell_angle_alpha 90.00
_cell_angle_beta 90.00
_cell_angle_gamma 90.00
_space_group_name_H-M_alt 'P 4/m m m'
_space_group_IT_number 123
_space_group_name_Hall '-P 4 2'
loop_
_atom_site_label
_atom_site_fract_x
_atom_site_fract_y
_atom_site_fract_z
_atom_site_occupancy
Nd1 0.000 0.000 0.000 1
Tm1 0.500 0.500 0.000 1
Sc1 0.000 0.500 0.000 1
Sc2 0.252 0.252 0.500 1
# - Theoretical density: 4.6 g cm⁻³



<i> wins, 35 meV per atom ahead of the next structure.



<i>
# Nd2Tm2Sc (PBE, optimized geometry)
data_Nd2Tm2Sc
_chemical_formula_sum 'Nd8 Tm8 Sc4'
_cell_length_a 15.547
_cell_length_b 6.166
_cell_length_c 6.679
_cell_angle_alpha 90.00
_cell_angle_beta 103.82
_cell_angle_gamma 90.00
_space_group_name_H-M_alt 'C 1 2/c 1'
_space_group_IT_number 15
loop_
_space_group_symop_operation_xyz
'x,y,z'
'-x,-y,-z'
'-x,y,-z+1/2'
'x,-y,z+1/2'
'x+1/2,y+1/2,z'
'-x+1/2,-y+1/2,-z'
'-x+1/2,y+1/2,-z+1/2'
'x+1/2,-y+1/2,z+1/2'
loop_
_atom_site_label
_atom_site_fract_x
_atom_site_fract_y
_atom_site_fract_z
_atom_site_occupancy
Nd1 0.100 0.085 0.451 1
Tm1 0.197 0.420 0.147 1
Sc1 0.000 0.421 0.750 1
# - Theoretical density: 7.2 g cm⁻³



<ii>
# Nd2Tm2Sc (PBE, optimized geometry)
data_Nd2Tm2Sc
_chemical_formula_sum 'Nd4 Tm4 Sc2'
_cell_length_a 4.903
_cell_length_b 7.737
_cell_length_c 8.240
_cell_angle_alpha 90.00
_cell_angle_beta 90.00
_cell_angle_gamma 90.00
_space_group_name_H-M_alt 'I m m m'
_space_group_IT_number 71
_space_group_name_Hall '-I 2 2'
loop_
_atom_site_label
_atom_site_fract_x
_atom_site_fract_y
_atom_site_fract_z
_atom_site_occupancy
Nd1 0.000 0.205 0.000 1
Tm1 0.000 0.500 0.292 1
Sc1 0.000 0.000 0.500 1
# - Theoretical density: 7.1 g cm⁻³



<i> wins, 176 meV per atom ahead of the next structure.



<i>
# Nd4Tm5Sc2 (PBE, optimized geometry)
data_Nd4Tm5Sc2
_chemical_formula_sum 'Nd8 Tm10 Sc4'
_cell_length_a 18.354
_cell_length_b 5.365
_cell_length_c 6.971
_cell_angle_alpha 90.00
_cell_angle_beta 96.17
_cell_angle_gamma 90.00
_space_group_name_H-M_alt 'C 1 2/m 1'
_space_group_IT_number 12
loop_
_space_group_symop_operation_xyz
'x,y,z'
'-x,-y,-z'
'-x,y,-z'
'x,-y,z'
'x+1/2,y+1/2,z'
'-x+1/2,-y+1/2,-z'
'-x+1/2,y+1/2,-z'
'x+1/2,-y+1/2,z'
loop_
_atom_site_label
_atom_site_fract_x
_atom_site_fract_y
_atom_site_fract_z
_atom_site_occupancy
Nd1 0.060 0.000 0.204 1
Nd2 0.183 0.500 0.380 1
Tm1 0.000 0.500 0.500 1
Tm2 0.129 0.000 0.698 1
Tm3 0.249 0.000 0.131 1
Sc1 0.077 0.500 0.936 1
# - Theoretical density: 7.4 g cm⁻³



<ii>
# Nd4Tm5Sc2 (PBE, optimized geometry)
data_Nd4Tm5Sc2
_chemical_formula_sum 'Nd8 Tm10 Sc4'
_cell_length_a 3.460
_cell_length_b 11.330
_cell_length_c 18.268
_cell_angle_alpha 90.00
_cell_angle_beta 90.00
_cell_angle_gamma 90.00
_space_group_name_H-M_alt 'I m m m'
_space_group_IT_number 71
_space_group_name_Hall '-I 2 2'
loop_
_atom_site_label
_atom_site_fract_x
_atom_site_fract_y
_atom_site_fract_z
_atom_site_occupancy
Nd1 0.000 0.000 0.094 1
Nd2 0.000 0.261 0.500 1
Tm1 0.000 0.287 0.319 1
Tm2 0.000 0.500 0.000 1
Sc1 0.000 0.000 0.285 1
# - Theoretical density: 7.0 g cm⁻³



<i> wins, 209 meV per atom ahead of the next structure.



<i>
# NdY6Sc2 (PBE, optimized geometry)
data_NdY6Sc2
_chemical_formula_sum 'Nd1 Y6 Sc2'
_cell_length_a 9.5559
_cell_length_b 9.5559
_cell_length_c 3.5284
_cell_angle_alpha 90.00
_cell_angle_beta 90.00
_cell_angle_gamma 120.00
_space_group_name_H-M_alt 'P -6 2 m'
_space_group_IT_number 189
_space_group_name_Hall 'P -6 -2'
loop_
_atom_site_label
_atom_site_fract_x
_atom_site_fract_y
_atom_site_fract_z
_atom_site_occupancy
Nd1 0.0000 0.0000 0.0000 1
Y1 0.0000 0.3719 0.0000 1
Y2 0.0000 0.6940 0.5000 1
Sc1 0.3333 0.6667 0.5000 1
# - Theoretical density: 4.6 g cm⁻³



<ii>
# NdY6Sc2 (PBE, optimized geometry)
data_NdY6Sc2
_chemical_formula_sum 'Nd2 Y12 Sc4'
_cell_length_a 5.576
_cell_length_b 9.646
_cell_length_c 10.291
_cell_angle_alpha 90.00
_cell_angle_beta 90.09
_cell_angle_gamma 90.00
_space_group_name_H-M_alt 'C 1 2/m 1'
_space_group_IT_number 12
loop_
_space_group_symop_operation_xyz
'x,y,z'
'-x,-y,-z'
'-x,y,-z'
'x,-y,z'
'x+1/2,y+1/2,z'
'-x+1/2,-y+1/2,-z'
'-x+1/2,y+1/2,-z'
'x+1/2,-y+1/2,z'
loop_
_atom_site_label
_atom_site_fract_x
_atom_site_fract_y
_atom_site_fract_z
_atom_site_occupancy
Nd1 0.000 0.000 0.000 1
Y1 0.000 0.000 0.339 1
Y2 0.001 0.333 0.175 1
Sc1 0.000 0.333 0.500 1
# - Theoretical density: 4.6 g cm⁻³



<i> wins, 33 meV per atom ahead of the next structure.